No. 1
Material: LiThSb2O8
Method: DFT, PBE
State: relaxed Values from VASP.

## Properties
- Uncorrected formation energy: -1.829 eV/atom

Structure (Quantum ESPRESSO input):
```
&SYSTEM
  ibrav = 0, nat = 12, ntyp = 4
/
ATOMIC_SPECIES
Sb 121.76 Sb.upf
O 16.00 O.upf
Li 6.94 Li.upf
Th 232.04 Th.upf
CELL_PARAMETERS angstrom
5.367 0.000 0.000
0.000 5.367 0.000
-2.684 -2.684 5.533
ATOMIC_POSITIONS crystal
Sb 0.250 0.750 0.500
Sb 0.500 0.500 0.000
O 0.587 0.658 0.683
O 0.342 0.904 0.317
O 0.169 0.599 0.819
O 0.096 0.025 0.683
O 0.975 0.413 0.317
O 0.650 0.220 0.819
O 0.401 0.350 0.181
O 0.780 0.831 0.181
Li 0.750 0.250 0.500
Th 0.000 0.000 0.000
```

***

No. 2
Material: LiTi2SbO
Method: DFT, PBE
State: relaxed Values from VASP.

## Properties
- Uncorrected formation energy: -1.224 eV/atom

Structure (Quantum ESPRESSO input):
```
&SYSTEM
  ibrav = 0, nat = 5, ntyp = 4
/
ATOMIC_SPECIES
O 16.00 O.upf
Ti 47.87 Ti.upf
Li 6.94 Li.upf
Sb 121.76 Sb.upf
CELL_PARAMETERS angstrom
-1.118 2.583 3.071
-3.891 -1.477 -0.174
0.979 -2.910 2.804
ATOMIC_POSITIONS crystal
O 0.000 0.000 0.000
Ti 0.000 0.500 0.000
Ti 0.500 0.000 0.000
Li 0.000 0.000 0.500
Sb 0.500 0.500 0.500
```

***

No. 3
Material: LiTiSb2O6
Method: DFT, PBE
State: relaxed Values from VASP.

## Properties
- Uncorrected formation energy: -1.816 eV/atom

Structure (Quantum ESPRESSO input):
```
&SYSTEM
  ibrav = 0, nat = 20, ntyp = 4
/
ATOMIC_SPECIES
Ti 47.87 Ti.upf
O 16.00 O.upf
Sb 121.76 Sb.upf
Li 6.94 Li.upf
CELL_PARAMETERS angstrom
5.369 0.000 0.051
0.000 5.791 0.000
0.064 0.000 7.758
ATOMIC_POSITIONS crystal
Ti 0.000 0.500 0.500
Ti 0.500 0.000 0.000
O 0.815 0.159 0.063
O 0.685 0.659 0.437
O 0.859 0.200 0.428
O 0.141 0.800 0.572
O 0.315 0.341 0.563
O 0.853 0.438 0.736
O 0.641 0.700 0.072
O 0.147 0.562 0.264
O 0.647 0.938 0.764
O 0.353 0.062 0.236
O 0.359 0.300 0.928
O 0.185 0.841 0.937
Sb 0.510 0.463 0.251
Sb 0.010 0.037 0.751
Sb 0.990 0.963 0.249
Sb 0.490 0.537 0.749
Li 0.500 0.000 0.500
Li 0.000 0.500 0.000
```